BaNb3I: single point on PBEsol structure, meta-GGA SCAN.

Cell lengths 5.1065, 5.1065, 5.1065 Å; angles 90.00, 90.00, 90.00 degrees
With the nearest neighbours (Å) after each atom.
Positions (direct):
1 Nb 0.0000 0.5000 0.0000  2 Ba 2.55
2 Nb 0.5000 0.0000 0.0000  2 Ba 2.55
3 Nb 0.0000 0.0000 0.5000  2 Ba 2.55
4 I 0.5000 0.5000 0.5000  12 Nb 3.61
5 Ba 0.0000 0.0000 0.0000  6 Nb 2.55

Results
E_tot, eV/cell: -162.12
SG: Pm-3m (221)
Density of states at the Fermi level, states/eV/cell: 5.91
Uncorrected formation energy, meV/atom: 2712